An optimized crystal structure of Ca2TlBiO6. Source: Alexandria, functional GGA-PBE.

Unit cell a=5.748 b=5.990 c=10.047 alpha=90.00 beta=123.80 gamma=90.00
Space group P2_1/c (No. 14)
Symmetry-distinct sites (fractional):
Ca: 0.222 0.058 0.241 [4 per cell]
Tl: 0.000 0.000 0.500 [2 per cell]
Bi: 0.500 0.000 0.000 [2 per cell]
O: 0.137 0.186 0.942 [4 per cell]
O: 0.234 0.709 0.919 [4 per cell]
O: 0.393 0.069 0.762 [4 per cell]

## Properties
Energy   -57.1 eV per formula unit
Crystal system   monoclinic

An optimized crystal structure of NaHoMgBr6. Source: Alexandria, functional GGA-PBE.

Unit cell a=7.0463 b=7.0463 c=13.3495 alpha=90.00 beta=90.00 gamma=120.00
Space group P-31c (No. 163)
Symmetry-distinct sites (fractional):
Na: 0.0000 0.0000 0.0000 [2 per cell]
Ho: 0.3333 0.6667 0.2500 [2 per cell]
Mg: 0.3333 0.6667 0.7500 [2 per cell]
Br: 0.0102 0.3634 0.6328 [12 per cell]

## Properties
DOS(E_F)   0.00 states/eV per cell
Energy   -32.5 eV per formula unit
Crystal system   trigonal

An optimized crystal structure of Na4NdU3S8. Source: Alexandria, functional GGA-PBE.

Unit cell a=8.0030 b=8.0030 c=20.2669 alpha=90.00 beta=90.00 gamma=120.00
Space group R-3m (No. 166, hexagonal axes)
Symmetry-distinct sites (fractional):
Na: 0.0000 0.0000 0.0000 [3 per cell]
Na: 0.0000 0.5000 0.0000 [9 per cell]
Nd: 0.0000 0.0000 0.5000 [3 per cell]
U: 0.0000 0.5000 0.5000 [9 per cell]
S: 0.0000 0.0000 0.2430 [6 per cell]
S: 0.0078 0.5039 0.7556 [18 per cell]

## Properties
DOS(E_F)   41.84 states/eV per cell
Energy   -100.1 eV per formula unit
Crystal system   trigonal

An optimized crystal structure of Ta2Cd2O. Source: Alexandria, functional GGA-PBE.

Unit cell a=3.628 b=3.628 c=14.517 alpha=90.00 beta=90.00 gamma=90.00
Space group I4/mmm (No. 139)
Symmetry-distinct sites (fractional):
Ta: 0.000 0.000 0.086 [4 per cell]
Cd: 0.000 0.500 0.250 [4 per cell]
O: 0.000 0.000 0.500 [2 per cell]

## Properties
DOS(E_F)   6.08 states/eV per cell
Energy   -25.7 eV per formula unit
Crystal system   tetragonal
Offset from the most stable computed form   1.495 eV per atom

An optimized crystal structure of Ba2TbPaN4. Source: Alexandria, functional GGA-PBE.

Unit cell a=6.278 b=3.696 c=6.744 alpha=90.00 beta=108.21 gamma=90.00
Space group P2/m (No. 10)
Symmetry-distinct sites (fractional):
Ba: 0.000 0.000 0.000 [1 per cell]
Ba: 0.500 0.500 0.000 [1 per cell]
Tb: 0.000 0.500 0.500 [1 per cell]
Pa: 0.500 0.000 0.500 [1 per cell]
N: 0.253 0.000 0.689 [2 per cell]
N: 0.282 0.500 0.312 [2 per cell]

## Properties
DOS(E_F)   0.56 states/eV per cell
Energy   -60.6 eV per formula unit
Crystal system   monoclinic

An optimized crystal structure of Nd3In3Cu2. Source: Alexandria, functional GGA-PBE.

Unit cell a=8.518 b=16.028 c=5.884 alpha=90.00 beta=90.00 gamma=90.00
Space group Pnma (No. 62)
Symmetry-distinct sites (fractional):
Nd: 0.037 0.111 0.117 [8 per cell]
Nd: 0.176 0.250 0.630 [4 per cell]
In: 0.172 0.750 0.622 [4 per cell]
In: 0.187 0.036 0.610 [8 per cell]
Cu: 0.099 0.610 0.380 [8 per cell]

## Properties
DOS(E_F)   33.16 states/eV per cell
Energy   -33.5 eV per formula unit
Crystal system   orthorhombic

An optimized crystal structure of SiAgP2. Source: Alexandria, functional GGA-PBE.

Unit cell a=5.646 b=5.646 c=10.257 alpha=90.00 beta=90.00 gamma=90.00
Space group I-42d (No. 122)
Symmetry-distinct sites (fractional):
Si: 0.000 0.000 0.000 [4 per cell]
Ag: 0.000 0.000 0.500 [4 per cell]
P: 0.219 0.250 0.125 [8 per cell]

## Properties
DOS(E_F)   6.79 states/eV per cell
Energy   -19.0 eV per formula unit
Crystal system   tetragonal

An optimized crystal structure of YLuHgGe. Source: Alexandria, functional GGA-PBE.

Unit cell a=7.227 b=7.227 c=7.227 alpha=90.00 beta=90.00 gamma=90.00
Space group F-43m (No. 216)
Symmetry-distinct sites (fractional):
Y: 0.000 0.000 0.000 [4 per cell]
Lu: 0.000 0.000 0.500 [4 per cell]
Hg: 0.250 0.250 0.250 [4 per cell]
Ge: 0.250 0.250 0.750 [4 per cell]

## Properties
DOS(E_F)   11.72 states/eV per cell
Energy   -18.0 eV per formula unit
Crystal system   cubic

An optimized crystal structure of SrNdHo2. Source: Alexandria, functional GGA-PBE.

Unit cell a=3.713 b=3.713 c=10.609 alpha=90.00 beta=90.00 gamma=90.00
Space group P4/mmm (No. 123)
Symmetry-distinct sites (fractional):
Sr: 0.000 0.000 0.000 [1 per cell]
Nd: 0.000 0.000 0.500 [1 per cell]
Ho: 0.500 0.500 0.276 [2 per cell]

## Properties
DOS(E_F)   6.64 states/eV per cell
Energy   -15.1 eV per formula unit
Crystal system   tetragonal
Offset from the most stable computed form   0.007 eV per atom

An optimized crystal structure of RbSe2I2. Source: Alexandria, functional GGA-PBE.

Unit cell a=3.785 b=3.785 c=28.046 alpha=90.00 beta=90.00 gamma=90.00
Space group I4/mmm (No. 139)
Symmetry-distinct sites (fractional):
Rb: 0.000 0.000 0.000 [2 per cell]
Se: 0.000 0.500 0.250 [4 per cell]
I: 0.000 0.000 0.410 [4 per cell]

## Properties
DOS(E_F)   8.76 states/eV per cell
Energy   -12.6 eV per formula unit
Crystal system   tetragonal
Offset from the most stable computed form   0.100 eV per atom

An optimized crystal structure of Ce3ZnGe3. Source: Alexandria, functional GGA-PBE.

Unit cell a=8.6383 b=8.6383 c=5.9898 alpha=90.00 beta=90.00 gamma=120.00
Space group P6_3/m (No. 176)
Symmetry-distinct sites (fractional):
Ce: 0.0691 0.6930 0.2500 [6 per cell]
Zn: 0.3333 0.6667 0.7500 [2 per cell]
Ge: 0.0617 0.7009 0.7500 [6 per cell]

## Properties
DOS(E_F)   27.29 states/eV per cell
Energy   -36.2 eV per formula unit
Crystal system   hexagonal
Offset from the most stable computed form   0.172 eV per atom

An optimized crystal structure of SrZn2Ru. Source: Alexandria, functional GGA-PBE.

Unit cell a=3.457 b=3.457 c=6.995 alpha=90.00 beta=90.00 gamma=90.00
Space group P4mm (No. 99)
Symmetry-distinct sites (fractional):
Sr: 0.000 0.000 0.000 [1 per cell]
Zn: 0.000 0.000 0.567 [1 per cell]
Zn: 0.500 0.500 0.338 [1 per cell]
Ru: 0.500 0.500 0.690 [1 per cell]

## Properties
DOS(E_F)   1.34 states/eV per cell
Energy   -13.1 eV per formula unit
Crystal system   tetragonal